No. 1
First-principles (PBE) data for DyTl2BS4 after structural relaxation, as listed in Alexandria.

Properties
Magnetic moment in μB/cell: 0.00
Volume in Å³/f.u.: 235
Formation energy from raw total energies in kJ/mol of atoms: -65.4
Final energy in eV/atom: -4.74

Cell: 11.107 13.344 7.977 Å, 90.00 127.19 90.00°
Space group C2/c (No. 15)
Unique sites:
1 Dy 0.000 0.000 0.000 [4 per cell]
2 Tl 0.000 0.500 0.000 [4 per cell]
3 Tl 0.250 0.250 0.000 [4 per cell]
4 B 0.250 0.250 0.500 [4 per cell]
5 S 0.111 0.234 0.525 [8 per cell]
6 S 0.201 0.024 0.926 [8 per cell]

=====

No. 2
First-principles (PBE) data for Dy4BSb2 after structural relaxation, as listed in Alexandria.

Properties
Magnetic moment in μB/cell: 0.00
Volume in Å³/f.u.: 188
Formation energy from raw total energies in kJ/mol of atoms: -68.0
Final energy in eV/atom: -5.47

Cell: 4.886 4.886 15.785 Å, 90.00 90.00 90.00°
Space group I4/mmm (No. 139)
Unique sites:
1 Dy 0.000 0.000 0.162 [4 per cell]
2 Dy 0.000 0.500 0.000 [4 per cell]
3 B 0.000 0.000 0.000 [2 per cell]
4 Sb 0.000 0.000 0.360 [4 per cell]

=====

No. 3
First-principles (PBE) data for DyBSb after structural relaxation, as listed in Alexandria.

Properties
Magnetic moment in μB/cell: 0.00
Volume in Å³/f.u.: 62
Formation energy from raw total energies in kJ/mol of atoms: -25.1
Final energy in eV/atom: -5.39

Cell: 10.173 3.945 6.427 Å, 90.00 104.37 90.00°
Space group C2/m (No. 12)
Unique sites:
1 Dy 0.118 0.000 0.325 [4 per cell]
2 B 0.080 0.500 0.573 [4 per cell]
3 Sb 0.131 0.500 0.935 [4 per cell]

=====

No. 4
First-principles (PBE) data for DyScB4 after structural relaxation, as listed in Alexandria.

Properties
Magnetic moment in μB/cell: 0.00
ΔH_f (0 K) in eV per atom: -0.55
Volume in Å³/f.u.: 68
Final energy in eV/atom: -6.83

Cell: 6.113 11.914 3.752 Å, 90.00 90.00 90.00°
Space group Pbam (No. 55)
Unique sites:
1 Dy 0.134 0.152 0.000 [4 per cell]
2 Sc 0.140 0.412 0.000 [4 per cell]
3 B 0.024 0.695 0.500 [4 per cell]
4 B 0.115 0.548 0.500 [4 per cell]
5 B 0.128 0.971 0.500 [4 per cell]
6 B 0.203 0.812 0.500 [4 per cell]

=====

No. 5
First-principles (PBE) data for DySc2B6 after structural relaxation, as listed in Alexandria.

Properties
Magnetic moment in μB/cell: 0.00
ΔH_f (0 K) in eV per atom: -0.72
Volume in Å³/f.u.: 97
Final energy in eV/atom: -7.09

Cell: 5.5321 5.5321 3.6663 Å, 90.00 90.00 120.00°
Space group P6/mmm (No. 191)
Unique sites:
1 Dy 0.0000 0.0000 0.0000 [1 per cell]
2 Sc 0.3333 0.6667 0.0000 [2 per cell]
3 B 0.0000 0.3388 0.5000 [6 per cell]

=====

No. 6
First-principles (PBE) data for DyScB12 after structural relaxation, as listed in Alexandria.

Properties
Magnetic moment in μB/cell: 0.00
ΔH_f (0 K) in eV per atom: -0.30
Volume in Å³/f.u.: 136
Final energy in eV/atom: -6.81

Cell: 4.085 4.085 8.168 Å, 90.00 90.00 90.00°
Space group P4/mmm (No. 123)
Unique sites:
1 Dy 0.000 0.000 0.000 [1 per cell]
2 Sc 0.000 0.000 0.500 [1 per cell]
3 B 0.199 0.500 0.251 [8 per cell]
4 B 0.500 0.500 0.100 [2 per cell]
5 B 0.500 0.500 0.401 [2 per cell]

=====

No. 7
First-principles (PBE) data for Dy3BSe6 after structural relaxation, as listed in Alexandria.

Properties
Magnetic moment in μB/cell: 0.00
Volume in Å³/f.u.: 249
Formation energy from raw total energies in kJ/mol of atoms: -133.7
Final energy in eV/atom: -5.52

Cell: 11.093 13.673 6.577 Å, 90.00 90.00 90.00°
Space group Cmc2_1 (No. 36)
Unique sites:
1 Dy 0.000 0.097 0.000 [4 per cell]
2 Dy 0.182 0.400 0.888 [8 per cell]
3 B 0.000 0.303 0.342 [4 per cell]
4 Se 0.000 0.290 0.659 [4 per cell]
5 Se 0.000 0.447 0.223 [4 per cell]
6 Se 0.152 0.241 0.201 [8 per cell]
7 Se 0.163 0.036 0.695 [8 per cell]

=====

No. 8
First-principles (PBE) data for DyBSe2 after structural relaxation, as listed in Alexandria.

Properties
Magnetic moment in μB/cell: 0.00
Volume in Å³/f.u.: 83
Formation energy from raw total energies in kJ/mol of atoms: 21.1
Final energy in eV/atom: -4.34

Cell: 3.4313 3.4313 24.4924 Å, 90.00 90.00 120.00°
Space group R-3m (No. 166, hexagonal axes)
Unique sites:
1 Dy 0.0000 0.0000 0.0000 [3 per cell]
2 B 0.0000 0.0000 0.5000 [3 per cell]
3 Se 0.0000 0.0000 0.1152 [6 per cell]